Material: Pm2Ge3Pd5
Method: DFT, PBE
State: relaxed

The calculation puts the energy above the most stable polymorph in this dataset at 1.96 kJ/mol of atoms. As for the formation energy: -0.762 eV/atom. The density of states at the Fermi level is 0.5064 states/eV per atom.

The space group is Cmc2_1 (No. 36) and the conventional cell measures 4.419, 24.088 and 6.958 Å, with angles of 90.00, 90.00 and 90.00 degrees. The inequivalent atoms are Pm at (0.000, 0.020, 0.000), Pm at (0.000, 0.326, 0.017), Ge at (0.000, 0.103, 0.680), Ge at (0.000, 0.275, 0.580), Ge at (0.000, 0.445, 0.803), Pd at (0.000, 0.110, 0.294), Pd at (0.000, 0.197, 0.863), Pd at (0.000, 0.226, 0.265), Pd at (0.000, 0.376, 0.515) and Pd at (0.000, 0.450, 0.194).

***

Material: Pm3GePd3
Method: DFT, PBE
State: relaxed

The calculation puts the energy above the most stable polymorph in this dataset at 27.53 kJ/mol of atoms. As for the formation energy: -0.537 eV/atom. The density of states at the Fermi level is 0.7158 states/eV per atom.

The space group is P6_3/m (No. 176) and the conventional cell measures 8.6591, 8.6591 and 5.8040 Å, with angles of 90.00, 90.00 and 120.00 degrees. The inequivalent atoms are Pm at (0.0513, 0.3739, 0.2500), Ge at (0.3333, 0.6667, 0.7500) and Pd at (0.0552, 0.3559, 0.7500).